(1)
Compound: KSiAg2
Source: the Alexandria database
Functional: PBE
Structure: relaxed

Unit cell a=10.331 b=10.331 c=10.331 alpha=17.35 beta=17.35 gamma=17.35
Fractional positions:
Ag (0.015, 0.015, 0.015)
Ag (0.485, 0.485, 0.485)
K (0.250, 0.250, 0.250)
Si (0.750, 0.750, 0.750)

Summary:
symmetry: R-3m
raw total energy: -2.63 eV per atom
Fermi-level density of states: 1.6 states/eV/cell
formation energy (no corrections): 1.69 eV per formula unit
total magnetization: 0.00 μB per formula unit
crystal system: trigonal

=====

(2)
Compound: KSiAg2
Source: the Alexandria database
Functional: PBE
Structure: relaxed

Unit cell a=4.827 b=4.826 c=3.765 alpha=90.00 beta=90.00 gamma=90.00
Fractional positions:
Ag (0.000, 0.000, 0.000)
Ag (0.500, 0.500, 0.000)
K (0.500, 0.000, 0.500)
Si (0.000, 0.500, 0.500)

Summary:
symmetry: P4/mmm
raw total energy: -2.58 eV per atom
Fermi-level density of states: 1.6 states/eV/cell
formation energy (no corrections): 1.90 eV per formula unit
total magnetization: 0.00 μB per formula unit
crystal system: tetragonal

=====

(3)
Compound: KSiAg2
Source: the Alexandria database
Functional: PBE
Structure: relaxed

Unit cell a=4.991 b=4.991 c=4.991 alpha=60.00 beta=60.00 gamma=60.00
Fractional positions:
Ag (0.000, 0.000, 0.000)
Ag (0.250, 0.250, 0.250)
K (0.500, 0.500, 0.500)
Si (0.750, 0.750, 0.750)

Summary:
symmetry: F-43m
raw total energy: -2.56 eV per atom
Fermi-level density of states: 2.7 states/eV/cell
formation energy (no corrections): 1.99 eV per formula unit
total magnetization: 0.00 μB per formula unit
crystal system: cubic

=====

(4)
Compound: K2SiAg2
Source: the Alexandria database
Functional: PBE
Structure: relaxed

Unit cell a=3.845 b=3.845 c=10.770 alpha=79.72 beta=79.72 gamma=90.00
Last column: magnetic moment on the atom in μB.
Fractional positions:
K (0.396, 0.396, 0.207)  0.01
K (0.604, 0.604, 0.793)  0.01
Si (0.000, 0.000, 0.000)  0.15
Ag (0.750, 0.250, 0.500)  -0.01
Ag (0.250, 0.750, 0.500)  -0.01

Summary:
symmetry: I4/mmm
raw total energy: -2.32 eV per atom
Fermi-level density of states: 2.3 states/eV/cell
formation energy (no corrections): 1.74 eV per formula unit
total magnetization: 0.57 μB per formula unit
crystal system: tetragonal